18
Lattice="5.022 0.000 0.000 0.000 5.022 0.000 0.000 0.000 10.092" Properties=species:S:1:pos:R:3 comment="Mn2AgF6, relaxed, DFT GGA+U" spacegroup="P4_2/mnm (136)" relative_energy_kj_per_mol_atoms=0.0 total_energy_ev_per_cell=-97.66 magmom_total_mub_per_cell=18.0 vol_a3_per_cell=254 pbc="T T T"
Mn 2.511 2.511 3.340
Mn 2.511 2.511 6.752
Mn 0.000 0.000 1.706
Mn 0.000 0.000 8.386
Ag 2.511 2.511 0.000
Ag 0.000 0.000 5.046
F 3.599 3.599 1.899
F 3.599 3.599 8.193
F 3.409 3.409 5.046
F 4.123 0.899 0.000
F 3.933 1.089 3.147
F 3.933 1.089 6.945
F 1.089 3.933 3.147
F 1.089 3.933 6.945
F 0.899 4.123 0.000
F 1.612 1.612 5.046
F 1.422 1.422 1.899
F 1.422 1.422 8.193